Ac2CeIr2I2 | PBE | relaxed

Values from the calculation:
Energy ... -41.37 eV per cell
Formation energy from raw total energies ... -0.91 eV/atom
Space-group type ... I4/mmm
M_tot ... 0.00 Bohr magnetons per cell

POSCAR file:
```
Ac2CeIr2I2
1.0
-2.581 2.581 8.894
2.581 -2.581 8.894
2.581 2.581 -8.894
Ac Ce Ir I
2 1 2 2
direct
0.108 0.108 0.000
0.892 0.892 0.000
0.500 0.500 0.000
0.000 0.500 0.500
0.500 0.000 0.500
0.309 0.309 0.000
0.691 0.691 0.000
```

---

CuSi4Sb | PBE | relaxed

Values from the calculation:
Energy ... -26.30 eV per cell
Formation energy from raw total energies ... 0.60 eV/atom
Space-group type ... F-43m
M_tot ... 0.00 Bohr magnetons per cell

POSCAR file:
```
CuSi4Sb
1.0
0.000 3.700 3.700
3.700 0.000 3.700
3.700 3.700 0.000
Cu Si Sb
1 4 1
direct
0.000 0.000 0.000
0.373 0.373 0.373
0.373 0.373 0.881
0.373 0.881 0.373
0.881 0.373 0.373
0.750 0.750 0.750
```

---

TbY3Cd | PBE | relaxed

Values from the calculation:
Energy ... -51.24 eV per cell
Offset from the most stable computed form ... 0.0000 eV/atom
Space-group type ... C2/m
ΔE_f ... -13.15 kJ/mol of atoms
M_tot ... 0.00 Bohr magnetons per cell

POSCAR file:
```
TbY3Cd
1.0
14.884 -1.835 0.000
14.884 1.835 0.000
-0.100 0.000 5.507
Tb Y Cd
2 6 2
direct
0.233 0.233 0.248
0.767 0.767 0.752
0.160 0.160 0.741
0.372 0.372 0.763
0.450 0.450 0.274
0.550 0.550 0.726
0.628 0.628 0.237
0.840 0.840 0.259
0.039 0.039 0.222
0.961 0.961 0.778
```